Record 1
VASP calculation (PBE-GGA) on a relaxed ZnInGaTe2S2 crystal.

a = 8.139 Å, b = 11.180 Å, c = 5.922 Å
α = 90.00°, β = 133.27°, γ = 90.00°
Space group C2 (No. 5)
Symmetry-distinct sites (fractional):
Zn (0.000, 0.000, 0.000)
In (0.000, 0.506, 0.000)
Ga (0.000, 0.776, 0.500)
Te (0.213, 0.153, 0.475)
S (0.227, 0.878, 0.971)

Computed properties:
**Density**: 4819 kg/m³
**E_tot**: -3.583 eV/atom

Record 2
VASP calculation (PBE-GGA) on a relaxed YInAu2 crystal.

a = 4.954 Å, b = 4.954 Å, c = 6.975 Å
α = 90.00°, β = 90.00°, γ = 90.00°
Space group I4/mmm (No. 139)
Symmetry-distinct sites (fractional):
Y (0.000, 0.000, 0.000)
In (0.000, 0.000, 0.500)
Au (0.000, 0.500, 0.250)

Computed properties:
**Density**: 11594 kg/m³
**E_tot**: -4.646 eV/atom

Record 3
VASP calculation (PBE-GGA) on a relaxed HoCuGeSe3 crystal.

a = 3.903 Å, b = 13.147 Å, c = 10.479 Å
α = 90.00°, β = 90.00°, γ = 90.00°
Space group Cmcm (No. 63)
Symmetry-distinct sites (fractional):
Ho (0.000, 0.000, 0.000)
Cu (0.000, 0.473, 0.250)
Ge (0.000, 0.225, 0.750)
Se (0.000, 0.091, 0.250)
Se (0.000, 0.353, 0.072)

Computed properties:
**Density**: 6646 kg/m³
**E_tot**: -4.718 eV/atom

Record 4
VASP calculation (PBE-GGA) on a relaxed AlSiIr crystal.

a = 5.792 Å, b = 5.792 Å, c = 5.792 Å
α = 90.00°, β = 90.00°, γ = 90.00°
Space group F-43m (No. 216)
Symmetry-distinct sites (fractional):
Al (0.000, 0.000, 0.000)
Si (0.000, 0.000, 0.500)
Ir (0.250, 0.250, 0.250)

Computed properties:
**Density**: 8452 kg/m³
**E_tot**: -6.623 eV/atom